Entry 1:
A relaxed NaTm3Pu2Te6 crystal. Source: Alexandria via LeMat-Bulk, functional PBE.

Geometry as extended XYZ:
```
12
Lattice="4.345 0.000 0.000 0.000 8.844 0.255 -2.173 -2.614 9.241" Properties=species:S:1:pos:R:3 pbc="T T T"
Tm 0.000 6.463 3.302
Tm 2.173 4.422 0.127
Tm 2.173 -0.233 6.193
Na 2.173 0.000 0.000
Te 0.000 1.903 6.309
Te 0.000 6.452 6.364
Te 0.000 6.568 0.246
Te 2.173 -0.338 9.249
Te 2.173 -0.222 3.131
Te 2.173 4.326 3.186
Pu 0.000 2.076 3.174
Pu 2.173 4.154 6.321
```

magnetization	1.012	μB per atom
SG	No. 12
theoretical density	8.3	g cm⁻³
formation energy without anion corrections	-1193	meV/atom
DFT total energy	-6.380	eV/atom

---

Entry 2:
A relaxed Na3Pu2UTe6 crystal. Source: Alexandria via LeMat-Bulk, functional PBE.

Geometry as extended XYZ:
```
12
Lattice="-7.768 0.417 -0.009 3.525 -6.885 -0.826 1.358 1.238 7.710" Properties=species:S:1:pos:R:3 pbc="T T T"
Te -2.866 -4.563 1.177
Te -0.325 -5.152 5.135
Te -2.559 -0.078 1.740
Te -4.027 -2.758 5.403
Te 1.143 -2.472 1.473
Te -0.019 -0.666 5.698
Na 2.309 -5.041 3.166
Na -1.442 -2.615 3.438
Na -5.194 -0.189 3.709
Pu -4.003 -2.017 -0.281
Pu -0.240 -4.450 -0.553
U 0.000 0.000 0.000
```

magnetization	1.083	μB per atom
SG	No. 12
theoretical density	6.6	g cm⁻³
formation energy without anion corrections	-967	meV/atom
DFT total energy	-6.197	eV/atom

---

Question: The highest theoretical density belongs to which entry?
Answer: NaTm3Pu2Te6

---

Question: Which of these has the highest magnetization?
Answer: Na3Pu2UTe6